No. 1
Below is crystalline LaTcH3 at its relaxed geometry, with properties calculated at the GGA-PBE level.

Summary:
As for the total energy: -5.41 eV/atom. The distance to the lowest polymorph of the same formula is 0 meV per atom. Its space group is No. 221.

Cell lengths 3.789, 3.789, 3.789 Å; angles 90.00, 90.00, 90.00 degrees
Fractional positions:
1 La 0.000 0.000 0.000
2 Tc 0.500 0.500 0.500
3 H 0.000 0.500 0.500
4 H 0.500 0.000 0.500
5 H 0.500 0.500 0.000

No. 2
Below is crystalline Ba2CoSi at its relaxed geometry, with properties calculated at the GGA-PBE level.

Summary:
As for the total energy: -4.17 eV/atom. Its space group is No. 38.

Cell lengths 4.273, 4.951, 11.754 Å; angles 90.00, 90.00, 90.00 degrees
Fractional positions:
1 Ba 0.000 0.000 0.000
2 Ba 0.000 0.500 0.500
3 Ba 0.500 0.000 0.287
4 Ba 0.500 0.500 0.787
5 Co 0.000 0.000 0.670
6 Co 0.000 0.500 0.170
7 Si 0.500 0.000 0.600
8 Si 0.500 0.500 0.100

No. 3
Below is crystalline InTeAsBr2 at its relaxed geometry, with properties calculated at the GGA-PBE level.

Summary:
As for the total energy: -2.54 eV/atom. The distance to the lowest polymorph of the same formula is 124 meV per atom. Its space group is No. 123.

Cell lengths 5.277, 5.277, 5.763 Å; angles 90.00, 90.00, 90.00 degrees
Fractional positions:
1 In 0.000 0.000 0.000
2 Te 0.500 0.500 0.500
3 As 0.000 0.000 0.500
4 Br 0.000 0.500 0.000
5 Br 0.500 0.000 0.000

No. 4
Below is crystalline LiMg6Cd5 at its relaxed geometry, with properties calculated at the GGA-PBE level.

Summary:
As for the total energy: -1.44 eV/atom. Its space group is No. 12.

Cell lengths 8.276, 8.276, 4.555 Å; angles 105.50, 105.50, 111.38 degrees
Fractional positions:
1 Li 0.000 0.000 0.000
2 Mg 0.087 0.420 0.255
3 Mg 0.253 0.253 0.754
4 Mg 0.420 0.087 0.255
5 Mg 0.580 0.913 0.745
6 Mg 0.747 0.747 0.246
7 Mg 0.913 0.580 0.745
8 Cd 0.159 0.841 0.500
9 Cd 0.329 0.671 0.000
10 Cd 0.500 0.500 0.500
11 Cd 0.671 0.329 0.000
12 Cd 0.841 0.159 0.500

| no. | V (Å³/cell) | total moment (μB/cell) |
| --- | --- | --- |
| 1 | 54 | 0.0 |
| 2 | 249 | 0.9 |
| 3 | 160 | 0.6 |
| 4 | 256 | 0.0 |